# ScGe2MoRu (GGA-PBE, optimized geometry)
# energy of formation	0.589	eV per atom
# raw total energy	-6.5459	eV per atom
# Fermi-level density of states	1.1882	states/eV/atom
data_ScGe2MoRu
_chemical_formula_sum 'Sc1 Ge2 Mo1 Ru1'
_space_group_name_H-M_alt 'P 4/m m m'
_space_group_IT_number 123
_space_group_name_Hall '-P 4 2'
_cell_length_a 4.651
_cell_length_b 4.651
_cell_length_c 4.882
_cell_angle_alpha 90.00
_cell_angle_beta 90.00
_cell_angle_gamma 90.00
loop_
_atom_site_label
_atom_site_type_symbol
_atom_site_fract_x
_atom_site_fract_y
_atom_site_fract_z
Sc1 Sc 0.000 0.000 0.000
Ge1 Ge 0.000 0.500 0.500
Mo1 Mo 0.500 0.500 0.000
Ru1 Ru 0.500 0.500 0.500